Compound: TiAl2Bi
Source: Alexandria via LeMat-Bulk
Functional: PBE
Structure: relaxed

Geometry as extended XYZ:
```
8
Lattice="7.901 0.000 0.000 0.000 7.901 0.000 3.950 3.950 2.826" Properties=species:S:1:pos:R:3 pbc="T T T"
Al 5.811 1.975 0.706
Al 2.090 5.926 0.706
Al 5.926 6.040 2.119
Al 9.876 9.761 2.119
Bi 0.000 0.000 0.000
Bi 7.901 3.950 1.413
Ti 3.950 3.950 0.000
Ti 3.950 7.901 1.413
```

Calculated values
The space group is No. 122. For the total energy, the calculation gives -4.478 eV/atom. The formation energy comes out at 0.337 eV/atom.